Below is a relaxed structure of AlRuAu2, with properties calculated at the PBE level.

Summary:
* formation enthalpy at 0 K: -0.15 eV/atom
* SG: P4mm

abc: 3.097 3.097 6.685
angles: 90.00 90.00 90.00
Fractional coordinates of all 4 atoms:
Al1 0.000 0.000 0.000
Ru1 0.500 0.500 0.812
Au1 0.000 0.000 0.540
Au2 0.500 0.500 0.251

Below is a relaxed structure of AlRu2Au, with properties calculated at the PBE level.

Summary:
* formation enthalpy at 0 K: -0.03 eV/atom
* SG: P4/mmm

abc: 4.352 4.352 3.135
angles: 90.00 90.00 90.00
Fractional coordinates of all 4 atoms:
Al1 0.000 0.000 0.000
Ru1 0.000 0.500 0.500
Ru2 0.500 0.000 0.500
Au1 0.500 0.500 0.000

The calculation returns the following size of the total moment values, one per record and in order: 0.000 0.000 μB/atom.